# 1
Density functional theory data (GGA-PBE) for a relaxed structure of Pm3InSi.

ΔE to the lowest computed polymorph   138 meV/atom
Formation energy without anion corrections   -113 kJ/mol of formula units

abc: 5.5157 5.5157 5.5157
angles: 90.00 90.00 90.00
With the nearest neighbours (Å) after each atom.
Space group Pm-3m (No. 221)
Unique sites:
Pm 0.0000 0.0000 0.5000  2 Si 2.76
In 0.5000 0.5000 0.5000  12 Pm 3.90
Si 0.0000 0.0000 0.0000  6 Pm 2.76

=====

# 2
Density functional theory data (GGA-PBE) for a relaxed structure of ReSb2Pt.

ΔE to the lowest computed polymorph   399 meV/atom
Formation energy without anion corrections   213 kJ/mol of formula units

abc: 4.0171 4.0171 9.4595
angles: 90.00 90.00 90.00
With the nearest neighbours (Å) after each atom.
Space group I-4m2 (No. 119)
Unique sites:
Re 0.0000 0.0000 0.0000  8 Sb 2.84-3.10, 4 Pt 3.10
Sb 0.0000 0.0000 0.5000  4 Re 2.84, 4 Sb 3.10, 4 Pt 3.10
Sb 0.0000 0.5000 0.7500  4 Pt 2.84, 4 Sb 3.10, 4 Re 3.10
Pt 0.0000 0.5000 0.2500  8 Sb 2.84-3.10, 4 Re 3.10

=====

# 3
Density functional theory data (GGA-PBE) for a relaxed structure of CaBeBiO4.

Formation energy without anion corrections   -1331 kJ/mol of formula units

abc: 5.9129 9.3362 6.6490
angles: 90.00 90.00 90.00
With the nearest neighbours (Å) after each atom.
Space group Cmcm (No. 63)
Unique sites:
Ca 0.0000 0.0000 0.0000  6 O 2.35-2.38
Be 0.0000 0.3638 0.2500  4 O 1.63-1.69
Bi 0.0000 0.3359 0.7500  4 O 2.16-2.23
O 0.0000 0.2507 0.0638  1 Be 1.63
O 0.2200 0.4798 0.2500  1 Be 1.69

=====

# 4
Density functional theory data (GGA-PBE) for a relaxed structure of PmCrAs2.

ΔE to the lowest computed polymorph   0 meV/atom

abc: 4.7334 4.7334 3.7516
angles: 90.00 90.00 90.00
With the nearest neighbours (Å) after each atom.
Space group P4/mmm (No. 123)
Unique sites:
Pm 0.0000 0.0000 0.0000  8 As 3.02, 4 Cr 3.35
Cr 0.5000 0.5000 0.0000  8 As 3.02, 4 Pm 3.35
As 0.0000 0.5000 0.5000  4 Cr 3.02, 4 Pm 3.02, 4 As 3.35

=====

Number 1: M_tot 0.000 μB/atom. Number 2: M_tot 0.089 μB/atom. Number 3: M_tot 0.038 μB/atom. Number 4: M_tot 1.041 μB/atom.